Material: ReF
Method: DFT, PBE
State: relaxed

a b c (Å): 2.6603 2.6603 10.4937
angles (deg): 90.00 90.00 120.00
Closest atoms and distances in Å follow each position.
Positions (direct):
1 Re 0.6667 0.3333 0.1303  1 F 1.88
2 Re 0.3333 0.6667 0.6303  1 F 1.88
3 F 0.3333 0.6667 0.4517  1 Re 1.88
4 F 0.6667 0.3333 0.9517  1 Re 1.88

**Space-group type**: P6_3mc, No. 186
**N(E_F)**: 0.724 states/eV/atom
**Size of the total moment**: 0.00 μB/atom
**Relative energy among the computed polymorphs**: 0.562 eV/atom